Entry 1:
Here is a relaxed Ba2Ti6O13 crystal from the Alexandria database. Energies are from GGA-PBEsol.

The value obtained for the total energy is -375.3 eV/cell.

Cell lengths 14.8814, 3.9466, 9.0673 Å; angles 90.00, 97.85, 90.00 degrees
Space group C2/m (No. 12)
Unique sites:
Ba: 0.0527 0.0000 0.2822
Ti: 0.1221 0.5000 0.6014
Ti: 0.1690 0.5000 0.9444
Ti: 0.2485 0.5000 0.2756
O: 0.0000 0.5000 0.5000
O: 0.0706 0.5000 0.8031
O: 0.1247 0.0000 0.6136
O: 0.1311 0.5000 0.1242
O: 0.1748 0.5000 0.4218
O: 0.1980 0.0000 0.9321
O: 0.2426 0.5000 0.7463

Entry 2:
Here is a relaxed BaTiO3 crystal from the Alexandria database. Energies are from GGA-PBEsol.

The value obtained for the total energy is -41.9 eV/cell.

Cell lengths 3.9858, 3.9858, 3.9858 Å; angles 90.00, 90.00, 90.00 degrees
Space group Pm-3m (No. 221)
Unique sites:
Ba: 0.0000 0.0000 0.0000
Ti: 0.5000 0.5000 0.5000
O: 0.0000 0.5000 0.5000

Entry 3:
Here is a relaxed Ba3Ti20O40 crystal from the Alexandria database. Energies are from GGA-PBEsol.

The value obtained for the total energy is -1153.3 eV/cell.

Cell lengths 14.1053, 14.7373, 9.9185 Å; angles 90.00, 133.36, 90.00 degrees
Space group C2/m (No. 12)
Unique sites:
Ba: 0.0000 0.0000 0.0000
Ba: 0.0000 0.3678 0.0000
Ti: 0.1423 0.2008 0.4641
Ti: 0.1478 0.4014 0.4800
Ti: 0.1524 0.0000 0.4899
Ti: 0.1566 0.5000 0.8169
Ti: 0.1637 0.0987 0.8172
Ti: 0.1724 0.2997 0.8197
O: 0.0382 0.0000 0.7208
O: 0.0407 0.3965 0.7263
O: 0.0428 0.2008 0.7180
O: 0.1516 0.2994 0.6096
O: 0.1519 0.5000 0.6161
O: 0.1547 0.5000 0.3444
O: 0.1557 0.1021 0.6151
O: 0.1599 0.0977 0.3545
O: 0.1597 0.3000 0.3528
O: 0.1985 0.5000 0.0554
O: 0.2033 0.2999 0.0541
O: 0.2050 0.0974 0.0549

Entry 4:
Here is a relaxed BaTiO3 crystal from the Alexandria database. Energies are from GGA-PBEsol.

The value obtained for the total energy is -166.9 eV/cell.

Cell lengths 5.7373, 5.7373, 9.4410 Å; angles 90.00, 90.00, 120.00 degrees
Space group P6_3/mmc (No. 194)
Unique sites:
Ba: 0.0000 0.0000 0.0000
Ba: 0.3333 0.6667 0.2500
Ti: 0.3333 0.6667 0.6114
O: 0.0000 0.5000 0.0000
O: 0.1838 0.3676 0.7500

Entry 5:
Here is a relaxed Ba4Ti11O26 crystal from the Alexandria database. Energies are from GGA-PBEsol.

The value obtained for the total energy is -363.6 eV/cell.

Cell lengths 7.7731, 7.8147, 9.9112 Å; angles 76.33, 66.98, 75.73 degrees
Space group P1 (No. 1)
Unique sites:
Ba: 0.0000 0.0000 0.0000
Ba: 0.2104 0.2034 0.4650
Ba: 0.4924 0.9867 0.9965
Ba: 0.7146 0.2096 0.4536
Ti: 0.1041 0.3530 0.1349
Ti: 0.1143 0.8718 0.3203
Ti: 0.2365 0.4573 0.8032
Ti: 0.3653 0.5871 0.4650
Ti: 0.4572 0.7786 0.6833
Ti: 0.5782 0.3574 0.1290
Ti: 0.6134 0.8761 0.3268
Ti: 0.7207 0.4570 0.8012
Ti: 0.8388 0.6163 0.0096
Ti: 0.8628 0.5874 0.4662
Ti: 0.9632 0.7742 0.6752
O: 0.0700 0.1197 0.2473
O: 0.0959 0.6381 0.4782
O: 0.0970 0.5761 0.9923
O: 0.2160 0.8054 0.1497
O: 0.2169 0.2550 0.9414
O: 0.2337 0.7129 0.6643
O: 0.3348 0.3798 0.6159
O: 0.3406 0.3239 0.1477
O: 0.3535 0.9094 0.8201
O: 0.3608 0.8411 0.3500
O: 0.4633 0.4487 0.3202
O: 0.4710 0.5143 0.7884
O: 0.4958 0.9615 0.5186
O: 0.6032 0.6212 0.4693
O: 0.6118 0.5756 0.9923
O: 0.6220 0.1060 0.2315
O: 0.7036 0.2535 0.9384
O: 0.7281 0.7691 0.1486
O: 0.7329 0.7122 0.6664
O: 0.8328 0.3805 0.1303
O: 0.8468 0.3774 0.6166
O: 0.8564 0.8443 0.8571
O: 0.8566 0.8336 0.3542
O: 0.9633 0.5105 0.8068
O: 0.9762 0.9749 0.5444
O: 0.9802 0.4554 0.3193

Entry 6:
Here is a relaxed Ba3TiO5 crystal from the Alexandria database. Energies are from GGA-PBEsol.

The value obtained for the total energy is -268.4 eV/cell.

Cell lengths 7.2777, 7.2777, 11.8520 Å; angles 90.00, 90.00, 90.00 degrees
Space group I4/mcm (No. 140)
Unique sites:
Ba: 0.0000 0.0000 0.2500
Ba: 0.1780 0.3220 0.0000
Ti: 0.0000 0.5000 0.2500
O: 0.0000 0.0000 0.0000
O: 0.1400 0.3600 0.3432

Entry 7:
Here is a relaxed BaTiO3 crystal from the Alexandria database. Energies are from GGA-PBEsol.

The value obtained for the total energy is -502.4 eV/cell.

Cell lengths 5.7368, 9.8873, 13.9420 Å; angles 90.00, 90.00, 90.00 degrees
Space group C222_1 (No. 20)
Unique sites:
Ba: 0.0000 0.0006 0.2500
Ba: 0.0129 0.3340 0.0965
Ti: 0.0210 0.3320 0.8461
Ti: 0.0238 0.0000 0.0000
O: 0.0000 0.4811 0.7500
O: 0.0008 0.1647 0.9196
O: 0.2256 0.2562 0.7524
O: 0.2482 0.0823 0.0810
O: 0.2476 0.0837 0.4194

Entry 8:
Here is a relaxed Ba2Ti11O24 crystal from the Alexandria database. Energies are from GGA-PBEsol.

The value obtained for the total energy is -335.3 eV/cell.

Cell lengths 7.1126, 7.4121, 8.8780 Å; angles 77.82, 77.58, 84.62 degrees
Space group P1 (No. 1)
Unique sites:
Ba: 0.0000 0.0000 0.0000
Ba: 0.0181 0.0290 0.4263
Ti: 0.2074 0.5606 0.7443
Ti: 0.2135 0.5596 0.4087
Ti: 0.2222 0.5356 0.0808
Ti: 0.5020 0.2020 0.5933
Ti: 0.5031 0.1821 0.9348
Ti: 0.5239 0.1867 0.2535
Ti: 0.5362 0.8352 0.8259
Ti: 0.5379 0.8377 0.4702
Ti: 0.8285 0.5079 0.3131
Ti: 0.8304 0.5014 0.9924
Ti: 0.8447 0.4740 0.6577
O: 0.0480 0.6593 0.9197
O: 0.0485 0.6648 0.5911
O: 0.0557 0.6681 0.2520
O: 0.3251 0.4132 0.5844
O: 0.3307 0.4126 0.9122
O: 0.3447 0.4248 0.2511
O: 0.3510 0.7477 0.0009
O: 0.3576 0.7592 0.3777
O: 0.3640 0.1075 0.1387
O: 0.3664 0.0829 0.8048
O: 0.3751 0.0879 0.4619
O: 0.3795 0.7468 0.6852
O: 0.6523 0.3013 0.7129
O: 0.6559 0.9650 0.6063
O: 0.6638 0.3021 0.3900
O: 0.6719 0.9725 0.9158
O: 0.6736 0.2850 0.0447
O: 0.6942 0.9808 0.2876
O: 0.7079 0.6234 0.8199
O: 0.7139 0.6231 0.1501
O: 0.7149 0.6336 0.4850
O: 0.9858 0.3714 0.8146
O: 0.9886 0.3728 0.1520
O: 0.9886 0.3787 0.4817

Entry 9:
Here is a relaxed Ba4Ti3O10 crystal from the Alexandria database. Energies are from GGA-PBEsol.

The value obtained for the total energy is -554.0 eV/cell.

Cell lengths 5.6569, 5.6617, 29.1973 Å; angles 90.00, 90.00, 90.00 degrees
Space group Cmce (No. 64)
Unique sites:
Ba: 0.0000 0.0026 0.0675
Ba: 0.0000 0.0045 0.2015
Ti: 0.0000 0.0000 0.5000
Ti: 0.0000 0.0142 0.3625
O: 0.0000 0.0019 0.5680
O: 0.0000 0.0036 0.7039
O: 0.2474 0.2448 0.3631
O: 0.2500 0.2500 0.0000

Entry 10:
Here is a relaxed Ba4Ti3O10 crystal from the Alexandria database. Energies are from GGA-PBEsol.

The value obtained for the total energy is -554.1 eV/cell.

Cell lengths 5.6748, 29.1216, 5.6882 Å; angles 90.00, 90.00, 90.00 degrees
Space group Fmm2 (No. 42)
Unique sites:
Ba: 0.0000 0.0677 0.0000
Ba: 0.0000 0.2015 0.9983
Ti: 0.0000 0.0000 0.5128
Ti: 0.0000 0.1375 0.5101
O: 0.0000 0.0681 0.4867
O: 0.0000 0.2039 0.4875
O: 0.2457 0.0000 0.7344
O: 0.2463 0.1369 0.7367

Entry 11:
Here is a relaxed Ba3TiZnWO9 crystal from the Alexandria database. Energies are from GGA-PBEsol.

The value obtained for the total energy is -235.2 eV/cell.

Cell lengths 5.7932, 5.7932, 14.1707 Å; angles 90.00, 90.00, 120.00 degrees
Space group P6_3mc (No. 186)
Unique sites:
Ba: 0.0000 0.0000 0.0000
Ba: 0.3333 0.6667 0.1627
Ba: 0.3333 0.6667 0.8523
Ti: 0.3333 0.6667 0.3983
Zn: 0.0000 0.0000 0.2582
W: 0.3333 0.6667 0.5983
O: 0.0331 0.5166 0.5078
O: 0.1711 0.3423 0.3386
O: 0.1732 0.3463 0.6679

Entry 12:
Here is a relaxed Ba2YTi3O7 crystal from the Alexandria database. Energies are from GGA-PBEsol.

The value obtained for the total energy is -110.3 eV/cell.

Cell lengths 3.9277, 3.9640, 11.2939 Å; angles 90.00, 90.00, 90.00 degrees
Space group Pmmm (No. 47)
Unique sites:
Ba: 0.0000 0.0000 0.1755
Y: 0.0000 0.0000 0.5000
Ti: 0.5000 0.5000 0.0000
Ti: 0.5000 0.5000 0.3604
O: 0.0000 0.5000 0.3702
O: 0.5000 0.0000 0.0000
O: 0.5000 0.0000 0.3696
O: 0.5000 0.5000 0.1742

Energy relative to the elements, uncorrected (eV/atom)
-3.10 -3.13 -3.08 -3.10 -3.10 -2.90 -3.13 -3.07 -3.08 -3.09 -2.68 -2.88